No. 1
The following is a PBE calculation of crystalline SrRe3O at its relaxed geometry, from Alexandria via LeMat-Bulk.

Cell: 4.8832 4.8832 4.8832 Å, 90.00 90.00 90.00°
Space group Pm-3m (No. 221)
Symmetry-distinct sites (fractional):
Sr  0.0000  0.0000  0.0000
Re  0.0000  0.0000  0.5000
O  0.5000  0.5000  0.5000

Properties
Energy above the most stable polymorph in this dataset (meV/atom): 3437
Fermi-level density of states (states/eV per cell): 8.5
Uncorrected formation energy (eV per atom): 4.46
Magnetic moment (μB per formula unit): 5.1
E (eV per cell): -21.70



No. 2
The following is a PBE calculation of crystalline AcPmSm4S8 at its relaxed geometry, from Alexandria via LeMat-Bulk.

Cell: 8.3307 8.3307 20.4441 Å, 90.00 90.00 120.00°
Space group R3m (No. 160, hexagonal axes)
Symmetry-distinct sites (fractional):
Ac  0.0000  0.0000  0.0000
Pm  0.0000  0.0000  0.3767
Sm  0.0000  0.0000  0.7496
Sm  0.1693  0.3387  0.2074
S  0.0000  0.0000  0.1384
S  0.0000  0.0000  0.6181
S  0.0164  0.5082  0.1274
S  0.1841  0.3682  0.9531

Properties
Fermi-level density of states (states/eV per cell): 25.9
Uncorrected formation energy (eV per atom): -1.92
Magnetic moment (μB per formula unit): 0.0
E (eV per cell): -263.08



No. 3
The following is a PBE calculation of crystalline CePr3Nd8 at its relaxed geometry, from Alexandria via LeMat-Bulk.

Cell: 8.8643 8.8643 11.5798 Å, 90.00 90.00 90.00°
Space group I-42m (No. 121)
Symmetry-distinct sites (fractional):
Ce  0.0000  0.0000  0.0000
Pr  0.0000  0.0000  0.5000
Pr  0.0000  0.5000  0.2500
Nd  0.1216  0.1216  0.2408
Nd  0.2375  0.2375  0.9805

Properties
Fermi-level density of states (states/eV per cell): 40.8
E_form (eV per atom): 0.51
Magnetic moment (μB per formula unit): 0.0
E (eV per cell): -104.61



> Which formula does entry 3 have?

CePr3Nd8